No. 1
Crystalline Tb8Sm2Y at its relaxed geometry, computed with GGA-PBE.

abc: 5.566 8.201 9.355
angles: 115.99 107.27 90.00
Sites, in units of the cell vectors:
Tb  0.637  0.843  0.274
Tb  0.363  0.569  0.726
Tb  0.160  0.160  0.320
Tb  0.000  0.294  0.000
Tb  0.840  0.840  0.680
Tb  0.637  0.431  0.274
Tb  0.363  0.157  0.726
Tb  0.000  0.706  0.000
Sm  0.202  0.702  0.404
Sm  0.798  0.298  0.596
Y  0.500  0.000  0.000

Calculated values
Energy above the lowest structure with this stoichiometry, kJ/mol of formula units: 0.0
Energy of formation from the pure elements, meV per atom: 116

***

No. 2
Crystalline CdPb2Se at its relaxed geometry, computed with GGA-PBE.

abc: 6.151 4.374 4.377
angles: 89.97 90.00 90.00
Sites, in units of the cell vectors:
Cd  0.500  0.873  0.877
Pb  0.000  0.877  0.873
Pb  0.500  0.373  0.377
Se  0.000  0.377  0.374

Calculated values
Energy above the lowest structure with this stoichiometry, kJ/mol of formula units: 4.3
Energy relative to the elements, uncorrected, meV/atom: -148

***

No. 3
Crystalline Sr2CaAlRh at its relaxed geometry, computed with GGA-PBE.

abc: 5.866 5.866 4.902
angles: 90.00 90.00 90.00
Sites, in units of the cell vectors:
Sr  0.000  0.500  0.000
Sr  0.500  0.000  0.000
Ca  0.500  0.500  0.500
Rh  0.000  0.000  0.000
Al  0.000  0.000  0.500

Calculated values
Energy of formation from the pure elements, meV per atom: -162

***

Total magnetic moment
In order: 0.000 0.000 0.000
Unit: μB per cell